1.
MnV2GeH, relaxed, DFT GGA-PBE; E_tot = -36.49 eV per cell; total magnetic moment = 1.7 μB/cell
1.0
3.8271 0.0000 0.0000
0.0000 3.8271 0.0000
0.0000 0.0000 3.8093
H Ge Mn V
1 1 1 2
direct
0.0000 0.0000 0.0000
0.5000 0.5000 0.5000
0.0000 0.0000 0.5000
0.0000 0.5000 0.0000
0.5000 0.0000 0.0000

---

2.
Mn2GeHW, relaxed, DFT GGA-PBE; E_tot = -38.93 eV per cell; total magnetic moment = 4.6 μB/cell
1.0
3.7763 0.0000 0.0000
0.0000 3.7763 0.0000
0.0000 0.0000 4.0451
H Ge Mn W
1 1 2 1
direct
0.0000 0.0000 0.0000
0.5000 0.5000 0.5000
0.0000 0.5000 0.0000
0.5000 0.0000 0.0000
0.0000 0.0000 0.5000

---

Q: Which of these has the lowest total magnetic moment?
A: MnV2GeH